# 1
Crystalline CdNi3N at its relaxed geometry, computed with PBE.

Output
Symmetry: No. 14
DOS(E_F) in states/eV/f.u.: 1.78

Cell lengths 20.7029, 4.8974, 7.0064 Å; angles 90.00, 160.47, 90.00 degrees
Last column: nearest neighbours and their distance in Å.
Element x y z (fractional)
Ni (0.3173, 0.9122, 0.0080)  3 N 1.92-1.97
Ni (0.6827, 0.0878, 0.9920)  3 N 1.92-1.97
Ni (0.1827, 0.4122, 0.4920)  3 N 1.92-1.97
Ni (0.8173, 0.5878, 0.5080)  3 N 1.92-1.97
Ni (0.4414, 0.4288, 0.4963)  2 N 1.90-1.93
Ni (0.5586, 0.5712, 0.5037)  2 N 1.90-1.93
Ni (0.0586, 0.9288, 0.0037)  2 N 1.90-1.93
Ni (0.9414, 0.0712, 0.9963)  2 N 1.90-1.93
Ni (0.5641, 0.9056, 0.0003)  1 N 1.82
Ni (0.4359, 0.0944, 0.9997)  1 N 1.82
Ni (0.9359, 0.4056, 0.4997)  1 N 1.82
Ni (0.0641, 0.5944, 0.5003)  1 N 1.82
N (0.5703, 0.7548, 0.7797)  6 Ni 1.82-1.97
N (0.4297, 0.2452, 0.2203)  6 Ni 1.82-1.97
N (0.9297, 0.2548, 0.7203)  6 Ni 1.82-1.97
N (0.0703, 0.7452, 0.2797)  6 Ni 1.82-1.97
Cd (0.1919, 0.1121, 0.0017)  9 Ni 2.71-2.91, 3 Cd 2.85-2.91
Cd (0.8081, 0.8879, 0.9983)  9 Ni 2.71-2.91, 3 Cd 2.85-2.91
Cd (0.3081, 0.6121, 0.4983)  9 Ni 2.71-2.91, 3 Cd 2.85-2.91
Cd (0.6919, 0.3879, 0.5017)  9 Ni 2.71-2.91, 3 Cd 2.85-2.91

# 2
Crystalline AgBr3 at its relaxed geometry, computed with PBE.

Output
Symmetry: No. 71
DOS(E_F) in states/eV/f.u.: 1.16

Cell lengths 3.8667, 8.1555, 6.1409 Å; angles 131.61, 108.35, 90.00 degrees
Last column: nearest neighbours and their distance in Å.
Element x y z (fractional)
Br (0.2932, 0.7099, 0.5864)  2 Ag 2.59
Br (0.5000, 0.4164, 0.0000)  4 Br 3.11
Br (0.7068, 0.1235, 0.4136)  2 Ag 2.59
Ag (0.0000, 0.9169, 0.0000)  4 Br 2.59

Number 1: formation energy (no corrections) 0.4 eV per formula unit, raw total energy -5.24 eV per atom, magnetic moment 0.0 Bohr magnetons per cell. Number 2: formation energy (no corrections) -0.1 eV per formula unit, raw total energy -2.00 eV per atom, magnetic moment 0.0 Bohr magnetons per cell.